CaI2N GGA-PBE relaxed; theoretical density = 3.29 g/cm³; ΔE to the lowest computed polymorph = 0 meV/atom; crystal system = monoclinic; size of the total moment = 2.98 μB/f.u.
1.0
4.555 0.000 0.000
0.001 7.697 -1.710
0.000 -0.739 9.019
Ca I N
2 4 2
Cartesian
1.267 6.081 3.534 Ca
3.544 2.233 4.390 Ca
3.544 4.416 2.101 I
1.266 0.568 2.957 I
1.266 3.898 5.823 I
3.543 0.048 6.677 I
3.539 6.457 -0.979 N
1.262 2.595 -0.119 N